Computed, not measured: crystalline YTcAg2 at its relaxed geometry at the PBE level of DFT.

Cell lengths 3.018, 3.018, 8.459 Å; angles 90.00, 90.00, 90.00 degrees
Space group P4/mmm (No. 123)
Symmetry-distinct sites (fractional):
Y (0.000, 0.000, 0.000)
Tc (0.000, 0.000, 0.500)
Ag (0.500, 0.500, 0.273)

- ΔE_f: 1.786 eV per formula unit
- Excess energy over the best structure of this formula in the dataset: 272.3 meV per atom
- ρ: 8.68 Mg/m³

---

Computed, not measured: crystalline YTc2Ag at its relaxed geometry at the PBE level of DFT.

Cell lengths 3.165, 4.923, 4.841 Å; angles 90.00, 94.45, 90.00 degrees
Space group P2/m (No. 10)
Symmetry-distinct sites (fractional):
Y (0.000, 0.000, 0.000)
Tc (0.335, 0.500, 0.769)
Ag (0.500, 0.000, 0.500)

- ΔE_f: 1.595 eV per formula unit
- Excess energy over the best structure of this formula in the dataset: 322.6 meV per atom
- ρ: 8.68 Mg/m³